Compound: BaY2Pb
Source: the Alexandria database
Functional: PBE
Structure: optimized geometry

The uncorrected energy comes out at -4.684 eV/atom. As for the crystal system: tetragonal.

a = 6.3382 Å, b = 6.3382 Å, c = 6.3382 Å
α = 132.68°, β = 132.68°, γ = 69.16°
Site moments in Bohr magnetons follow the coordinates.
Fractional positions:
Y 0.0000 0.0000 0.0000  0.14
Y 0.5000 0.5000 0.0000  0.14
Ba 0.2500 0.7500 0.5000  0.03
Pb 0.7500 0.2500 0.5000  0.00